[1]
Compound: Pa2CdBO8
Source: Alexandria
Functional: PBE-GGA
Structure: relaxed

Summary:
* total magnetization: 0.0000 μB per atom

Lattice parameters (Å, degrees): 4.8685 4.8685 6.7868 90.00 90.00 120.00
Last column: nearest neighbours and their distance in Å.
Space group P-3m1 (No. 164)
Inequivalent atoms, fractional coordinates:
Pa (0.3333, 0.6667, 0.3406) [2 per cell]  1 O 1.93
Cd (0.0000, 0.0000, 0.0000) [1 per cell]  12 O 2.76-2.84
B (0.0000, 0.0000, 0.5000) [1 per cell]  6 O 1.69
O (0.1613, 0.3226, 0.6468) [6 per cell]  1 B 1.69
O (0.3333, 0.6667, 0.0555) [2 per cell]  1 Pa 1.93

[2]
Compound: CdB2Pb2O6
Source: Alexandria
Functional: PBE-GGA
Structure: relaxed

Summary:
* total magnetization: 0.0000 μB per atom

Lattice parameters (Å, degrees): 9.4677 5.4571 6.5260 90.00 118.29 90.00
Last column: nearest neighbours and their distance in Å.
Space group C2/m (No. 12)
Inequivalent atoms, fractional coordinates:
Cd (0.0000, 0.0000, 0.0000) [2 per cell]  6 O 2.27-2.52
B (0.0385, 0.5000, 0.7658) [4 per cell]  3 O 1.37-1.41
Pb (0.2072, 0.0000, 0.6913) [4 per cell]  3 O 2.50-2.63
O (0.0520, 0.2830, 0.2813) [8 per cell]  1 B 1.41
O (0.2020, 0.5000, 0.8596) [4 per cell]  1 B 1.37

[3]
Compound: CdBPbO4
Source: Alexandria
Functional: PBE-GGA
Structure: relaxed

Summary:
* total magnetization: 0.0000 μB per atom

Lattice parameters (Å, degrees): 6.1027 6.2787 8.6307 90.00 90.00 90.00
Last column: nearest neighbours and their distance in Å.
Space group Imma (No. 74)
Inequivalent atoms, fractional coordinates:
Cd (0.2500, 0.2500, 0.2500) [4 per cell]  6 O 2.35-2.42
B (0.0000, 0.2500, 0.6295) [4 per cell]  4 O 1.52-1.55
Pb (0.0000, 0.0000, 0.0000) [4 per cell]  6 O 2.39-2.41
O (0.0000, 0.0474, 0.7248) [8 per cell]  1 B 1.52
O (0.2019, 0.2500, 0.5206) [8 per cell]  1 B 1.55

[4]
Compound: Cd3B4Pb3O12
Source: Alexandria
Functional: PBE-GGA
Structure: relaxed

Summary:
* total magnetization: 0.0000 μB per atom

Lattice parameters (Å, degrees): 10.2049 10.2049 7.0972 90.00 90.00 120.00
Last column: nearest neighbours and their distance in Å.
Space group P6_3/m (No. 176)
Inequivalent atoms, fractional coordinates:
Cd (0.0000, 0.5000, 0.0000) [6 per cell]  6 O 2.26-2.49
B (0.1903, 0.7991, 0.2500) [6 per cell]  3 O 1.37-1.40
B (0.3333, 0.6667, 0.7500) [2 per cell]  3 O 1.40
Pb (0.1358, 0.2912, 0.7500) [6 per cell]  5 O 2.32-2.57
O (0.1022, 0.4457, 0.2500) [6 per cell]  1 B 1.37
O (0.1062, 0.7521, 0.0828) [12 per cell]  1 B 1.40
O (0.1881, 0.5404, 0.7500) [6 per cell]  1 B 1.40

[5]
Compound: Cd2B2PbO6
Source: Alexandria
Functional: PBE-GGA
Structure: relaxed

Summary:
* total magnetization: 0.0000 μB per atom

Lattice parameters (Å, degrees): 5.2435 5.7798 6.0825 96.59 110.16 110.34
Last column: nearest neighbours and their distance in Å.
Space group P-1 (No. 2)
Inequivalent atoms, fractional coordinates:
Cd (0.1091, 0.3519, 0.2279) [2 per cell]  5 O 2.20-2.38
B (0.2100, 0.2364, 0.7490) [2 per cell]  3 O 1.38-1.41
Pb (0.5000, 0.0000, 0.5000) [1 per cell]  6 O 2.54-2.68
O (0.0166, 0.3106, 0.8217) [2 per cell]  1 B 1.41
O (0.2223, 0.0052, 0.7684) [2 per cell]  1 B 1.38
O (0.3791, 0.3901, 0.6448) [2 per cell]  1 B 1.39

[6]
Compound: Pm2CdBO5
Source: Alexandria
Functional: PBE-GGA
Structure: relaxed

Summary:
* total magnetization: 0.0000 μB per atom

Lattice parameters (Å, degrees): 6.7543 6.7543 5.1611 90.00 90.00 90.00
Last column: nearest neighbours and their distance in Å.
Space group P4/mbm (No. 127)
Inequivalent atoms, fractional coordinates:
Pm (0.1790, 0.3210, 0.0000) [4 per cell]  8 O 2.43-2.50
Cd (0.0000, 0.0000, 0.5000) [2 per cell]  2 O 2.58
B (0.0000, 0.5000, 0.5000) [2 per cell]  4 O 1.59
O (0.0000, 0.0000, 0.0000) [2 per cell]  4 Pm 2.48, 2 Cd 2.58
O (0.1166, 0.6166, 0.2794) [8 per cell]  1 B 1.59

[7]
Compound: PmCd2B2O6
Source: Alexandria
Functional: PBE-GGA
Structure: relaxed

Summary:
* total magnetization: 0.0000 μB per atom

Lattice parameters (Å, degrees): 5.2230 5.2230 7.1787 90.00 90.00 120.00
Last column: nearest neighbours and their distance in Å.
Space group P-3 (No. 147)
Inequivalent atoms, fractional coordinates:
Pm (0.0000, 0.0000, 0.0000) [1 per cell]  6 O 2.37
Cd (0.3333, 0.6667, 0.3393) [2 per cell]  3 O 2.25
B (0.3333, 0.6667, 0.7964) [2 per cell]  3 O 1.39
O (0.0789, 0.6878, 0.7981) [6 per cell]  1 B 1.39

[8]
Compound: Pm3CdB4O12
Source: Alexandria
Functional: PBE-GGA
Structure: relaxed

Summary:
* total magnetization: 0.0527 μB per atom

Lattice parameters (Å, degrees): 10.3468 10.3468 8.7699 90.00 90.00 120.00
Last column: nearest neighbours and their distance in Å.
Space group R32 (No. 155, hexagonal axes)
Inequivalent atoms, fractional coordinates:
Pm (0.0000, 0.5250, 0.0000) [9 per cell]  6 O 2.35-2.36
Cd (0.0000, 0.0000, 0.0000) [3 per cell]  6 O 2.49
B (0.0000, 0.0000, 0.5000) [3 per cell]  3 O 1.38
B (0.0000, 0.4740, 0.5000) [9 per cell]  3 O 1.37-1.39
O (0.0000, 0.6068, 0.5000) [9 per cell]  1 B 1.37
O (0.0000, 0.8668, 0.5000) [9 per cell]  1 B 1.38
O (0.0080, 0.1981, 0.8323) [18 per cell]  1 B 1.39

[9]
Compound: CdB4Pt3O12
Source: Alexandria
Functional: PBE-GGA
Structure: relaxed

Summary:
* total magnetization: 0.0000 μB per atom

Lattice parameters (Å, degrees): 9.7301 9.7301 8.0182 90.00 90.00 120.00
Last column: nearest neighbours and their distance in Å.
Space group R32 (No. 155, hexagonal axes)
Inequivalent atoms, fractional coordinates:
Cd (0.0000, 0.0000, 0.0000) [3 per cell]  6 O 2.40
B (0.0000, 0.0000, 0.5000) [3 per cell]  3 O 1.38
B (0.0000, 0.4481, 0.5000) [9 per cell]  3 O 1.37-1.42
Pt (0.0000, 0.5470, 0.0000) [9 per cell]  6 O 2.07-2.11
O (0.0000, 0.5940, 0.5000) [9 per cell]  1 B 1.42
O (0.0000, 0.8582, 0.5000) [9 per cell]  1 B 1.38
O (0.0193, 0.2069, 0.1795) [18 per cell]  1 B 1.37

[10]
Compound: CdBPtO5
Source: Alexandria
Functional: PBE-GGA
Structure: relaxed

Summary:
* total magnetization: 0.0519 μB per atom

Lattice parameters (Å, degrees): 6.4864 8.4839 7.0087 90.00 115.58 90.00
Last column: nearest neighbours and their distance in Å.
Space group C2/c (No. 15)
Inequivalent atoms, fractional coordinates:
Cd (0.0000, 0.1515, 0.2500) [4 per cell]  5 O 2.16-2.40
B (0.0000, 0.1925, 0.7500) [4 per cell]  4 O 1.47-1.54
Pt (0.0000, 0.5000, 0.0000) [4 per cell]  6 O 1.93-2.05
O (0.0000, 0.4058, 0.2500) [4 per cell]  2 Pt 1.93
O (0.1036, 0.2823, 0.6343) [8 per cell]  1 B 1.47
O (0.1714, 0.0748, 0.9067) [8 per cell]  1 B 1.54

[11]
Compound: PuCd2BO6
Source: Alexandria
Functional: PBE-GGA
Structure: relaxed

Summary:
* total magnetization: 0.3000 μB per atom

Lattice parameters (Å, degrees): 9.8674 5.3229 5.2284 90.00 114.44 90.00
Last column: nearest neighbours and their distance in Å.
Space group C2/m (No. 12)
Inequivalent atoms, fractional coordinates:
Pu (0.0000, 0.0000, 0.0000) [2 per cell]  2 O 1.94
Cd (0.2388, 0.0000, 0.6762) [4 per cell]  5 O 2.20-2.38
B (0.0000, 0.5000, 0.5000) [2 per cell]  4 O 1.60
O (0.0651, 0.2887, 0.3642) [8 per cell]  1 B 1.60
O (0.2087, 0.0000, 0.0708) [4 per cell]  1 Pu 1.94

[12]
Compound: PuCdBO6
Source: Alexandria
Functional: PBE-GGA
Structure: relaxed

Summary:
* total magnetization: 0.1111 μB per atom

Lattice parameters (Å, degrees): 4.9492 4.9492 4.9751 90.00 90.00 120.00
Last column: nearest neighbours and their distance in Å.
Space group P312 (No. 149)
Inequivalent atoms, fractional coordinates:
Pu (0.0000, 0.0000, 0.0000) [1 per cell]  6 O 2.02
Cd (0.6667, 0.3333, 0.5000) [1 per cell]  6 O 2.33
B (0.3333, 0.6667, 0.0000) [1 per cell]  6 O 1.75
O (0.0511, 0.3752, 0.2039) [6 per cell]  1 B 1.75

Number 1: raw formation energy -2182.9 meV/atom. Number 2: raw formation energy -1713.8 meV/atom. Number 3: raw formation energy -1104.2 meV/atom. Number 4: raw formation energy -1759.3 meV/atom. Number 5: raw formation energy -1660.3 meV/atom. Number 6: raw formation energy -2170.4 meV/atom. Number 7: raw formation energy -2105.3 meV/atom. Number 8: raw formation energy -2616.8 meV/atom. Number 9: raw formation energy -1328.9 meV/atom. Number 10: raw formation energy -1128.6 meV/atom. Number 11: raw formation energy -1595.0 meV/atom. Number 12: raw formation energy -1551.9 meV/atom.